Entry 1:
Entry from Alexandria: an optimized crystal structure of Ba6SbAs2N (PBE-GGA).

Cell lengths 7.924, 8.464, 13.754 Å; angles 90.00, 122.39, 90.00 degrees
Space group P2_1/c (No. 14)
Inequivalent atoms, fractional coordinates:
Ba 0.086 0.205 0.429 x4
Ba 0.206 0.665 0.425 x4
Ba 0.368 0.066 0.225 x4
Sb 0.500 0.000 0.500 x2
As 0.209 0.083 0.741 x4
N 0.000 0.000 0.000 x2

The spin magnetization is 0.00 μB per formula unit. The electronic total energy comes out at -0.1530 Ha/atom.

=====

Entry 2:
Entry from Alexandria: an optimized crystal structure of CeMgBe2H8 (PBE-GGA).

Cell lengths 4.3288, 4.3288, 18.9571 Å; angles 90.00, 90.00, 120.00 degrees
Space group R-3 (No. 148, hexagonal axes)
Inequivalent atoms, fractional coordinates:
Ce 0.0000 0.0000 0.0000 x3
Mg 0.0000 0.0000 0.5000 x3
Be 0.0000 0.0000 0.2468 x6
H 0.0000 0.0000 0.3237 x6
H 0.0021 0.3697 0.5605 x18

The spin magnetization is 1.49 μB per formula unit. The value obtained for the density of states at the Fermi level is 7.68 states/eV/f.u. The electronic total energy comes out at -0.1359 Ha/atom.

=====

Entry 3:
Entry from Alexandria: an optimized crystal structure of Mn4V3Fe (PBE-GGA).

Cell lengths 2.875, 2.875, 11.345 Å; angles 90.00, 90.00, 90.00 degrees
Space group P4/mmm (No. 123)
Inequivalent atoms, fractional coordinates:
Mn 0.000 0.000 0.124 x2
Mn 0.000 0.000 0.374 x2
V 0.500 0.500 0.246 x2
V 0.500 0.500 0.500 x1
Fe 0.500 0.500 0.000 x1

The spin magnetization is 3.74 μB per formula unit. The energy of formation is -0.15 eV/atom. The value obtained for the density of states at the Fermi level is 7.75 states/eV/f.u.

=====

Entry 4:
Entry from Alexandria: an optimized crystal structure of LiTbErAg (PBE-GGA).

Cell lengths 7.282, 7.282, 7.282 Å; angles 90.00, 90.00, 90.00 degrees
Space group F-43m (No. 216)
Inequivalent atoms, fractional coordinates:
Li 0.000 0.000 0.000 x4
Tb 0.250 0.250 0.250 x4
Er 0.250 0.250 0.750 x4
Ag 0.000 0.000 0.500 x4

The spin magnetization is 0.00 μB per formula unit. The energy of formation is -0.10 eV/atom. The value obtained for the density of states at the Fermi level is 3.70 states/eV/f.u.

=====

Entry 5:
Entry from Alexandria: an optimized crystal structure of Ba8Pt3RhI4 (PBE-GGA).

Cell lengths 9.2649, 9.2649, 25.9295 Å; angles 90.00, 90.00, 120.00 degrees
Space group R-3m (No. 166, hexagonal axes)
Inequivalent atoms, fractional coordinates:
Ba 0.0000 0.0000 0.2334 x6
Ba 0.0064 0.5032 0.2331 x18
Pt 0.0000 0.5000 0.5000 x9
Rh 0.0000 0.0000 0.5000 x3
I 0.0000 0.0000 0.0000 x3
I 0.0000 0.5000 0.0000 x9

The spin magnetization is 0.00 μB per formula unit. The value obtained for the density of states at the Fermi level is 9.80 states/eV/f.u. The electronic total energy comes out at -0.1470 Ha/atom.

=====

Entry 6:
Entry from Alexandria: an optimized crystal structure of FeCo4Ni (PBE-GGA).

Cell lengths 4.741, 6.809, 4.881 Å; angles 90.00, 118.92, 90.00 degrees
Space group C2/m (No. 12)
Inequivalent atoms, fractional coordinates:
Fe 0.000 0.000 0.000 x2
Co 0.246 0.316 0.253 x8
Ni 0.000 0.500 0.500 x2

The spin magnetization is 9.88 μB per formula unit. The energy of formation is 0.17 eV/atom. The value obtained for the density of states at the Fermi level is 6.74 states/eV/f.u.

=====

Entry 7:
Entry from Alexandria: an optimized crystal structure of HfTh2Sb (PBE-GGA).

Cell lengths 4.796, 4.796, 4.694 Å; angles 90.00, 90.00, 90.00 degrees
Space group P4/mmm (No. 123)
Inequivalent atoms, fractional coordinates:
Hf 0.000 0.000 0.000 x1
Th 0.000 0.500 0.500 x2
Sb 0.500 0.500 0.000 x1

The spin magnetization is 0.00 μB per formula unit. The value obtained for the density of states at the Fermi level is 3.89 states/eV/f.u. The electronic total energy comes out at -0.2763 Ha/atom.

=====

Entry 8:
Entry from Alexandria: an optimized crystal structure of CaHfOs4 (PBE-GGA).

Cell lengths 7.469, 7.469, 7.469 Å; angles 90.00, 90.00, 90.00 degrees
Space group F-43m (No. 216)
Inequivalent atoms, fractional coordinates:
Ca 0.000 0.000 0.000 x4
Hf 0.250 0.250 0.250 x4
Os 0.125 0.125 0.625 x16

The spin magnetization is 0.00 μB per formula unit. The energy of formation is -0.07 eV/atom. The value obtained for the density of states at the Fermi level is 5.49 states/eV/f.u.

=====

Entry 9:
Entry from Alexandria: an optimized crystal structure of LiGe2Pb2 (PBE-GGA).

Cell lengths 7.983, 7.983, 4.128 Å; angles 90.00, 90.00, 90.00 degrees
Space group P4/mbm (No. 127)
Inequivalent atoms, fractional coordinates:
Li 0.000 0.000 0.000 x2
Ge 0.119 0.381 0.500 x4
Pb 0.163 0.663 0.000 x4

The spin magnetization is 0.00 μB per formula unit. The energy of formation is 0.13 eV/atom. The value obtained for the density of states at the Fermi level is 2.47 states/eV/f.u.